SbIrRh2: optimized geometry, GGA-PBE.

Summary:
Theoretical density = 13.37 Mg/m³
ΔE_f (raw) = 0.198 eV/atom
Density of states at the Fermi level = 1.596 states/eV per atom

abc: 2.9938 2.9938 7.2013
angles: 90.00 90.00 90.00
Site moments in Bohr magnetons follow the coordinates.
Fractional coordinates of all 4 atoms:
Sb: 0.0000 0.0000 0.4965  0.00
Ir: 0.5000 0.5000 0.7550  0.24
Rh: 0.0000 0.0000 0.9981  0.63
Rh: 0.5000 0.5000 0.2504  0.21